First-principles (meta-GGA SCAN) data for a crystal of AlNi2H2 relaxed with PBEsol, as listed in the Alexandria database. Values from VASP.

```
&SYSTEM
  ibrav = 0, nat = 5, ntyp = 3
/
ATOMIC_SPECIES
Al 26.98 Al.upf
H 1.01 H.upf
Ni 58.69 Ni.upf
ATOMIC_POSITIONS crystal
Al 0.000 0.000 0.000
H 0.750 0.250 0.500
H 0.250 0.750 0.500
Ni 0.348 0.348 0.696
Ni 0.652 0.652 0.304
CELL_PARAMETERS angstrom
-1.697 0.598 2.396
-2.270 -1.524 -1.227
3.395 -3.173 1.322
```

Results
SG   No. 139
Raw total energy   -9.6692 eV/atom